VASP calculation (PBE-GGA) on AgSnP2 after structural relaxation.

As for the formation energy: 0.14 eV/atom. The size of the total moment is 0.00 μB/cell. For the volume, the calculation gives 24.5 Å³ per atom. The value obtained for the density of states at the Fermi level is 2.6 states/eV/f.u.

The space group is I-42d (No. 122) and the conventional cell measures 5.8699, 5.8699 and 11.3871 Å, with angles of 90.00, 90.00 and 90.00 degrees. The inequivalent atoms are Ag at (0.0000, 0.0000, 0.0000), Sn at (0.0000, 0.0000, 0.5000) and P at (0.2388, 0.2500, 0.1250).